# 1
NiHW PBE relaxed; M_tot = 0.00 μB/f.u.; energy relative to the lowest polymorph listed for this composition = 92 meV/atom; crystal system = orthorhombic; uncorrected energy = -7.15 eV/atom; V = 10.6 Å³ per atom
1.0
-0.1195 -2.6950 -0.3014
2.6758 0.1671 -2.5553
5.6950 -0.6148 3.2392
Ni W H
2 2 2
direct
0.2500 0.0869 0.8261
0.7500 0.9131 0.1739
0.7500 0.6852 0.6296
0.2500 0.3148 0.3704
0.2500 0.5718 0.8565
0.7500 0.4282 0.1435

=====

# 2
Pm14YIn PBE relaxed; M_tot = 0.00 μB/f.u.; crystal system = tetragonal; uncorrected energy = -4.77 eV/atom; V = 33.3 Å³ per atom; energy relative to the elements = -0.623 eV per formula unit
1.0
7.1463 0.9591 0.0000
-0.9585 7.1464 0.0000
0.0000 0.0000 10.2374
Pm Y In
14 1 1
direct
0.3752 0.6248 0.5000
0.8750 0.1250 0.5000
0.8749 0.6250 0.0000
0.8752 0.6250 0.5000
0.3750 0.1251 0.0000
0.3750 0.1248 0.5000
0.6270 0.8770 0.7544
0.6270 0.8770 0.2456
0.1230 0.3730 0.7544
0.1230 0.3730 0.2456
0.1231 0.8769 0.7543
0.1231 0.8769 0.2457
0.6270 0.3730 0.7544
0.6270 0.3730 0.2456
0.3749 0.6251 0.0000
0.8749 0.1251 0.0000

=====

# 3
Al7C6 PBE relaxed; M_tot = 0.02 μB/f.u.; crystal system = trigonal; uncorrected energy = -5.49 eV/atom; V = 12.8 Å³ per atom; energy relative to the elements = 10.155 eV per formula unit
1.0
7.3972 0.0001 0.0000
5.4686 4.9812 0.0000
5.4686 2.1173 4.5088
C Al
6 7
direct
0.1184 0.1184 0.1184
0.8816 0.8816 0.8816
0.1866 0.1866 0.1866
0.8134 0.8134 0.8134
0.3330 0.3330 0.3330
0.6670 0.6670 0.6670
0.5720 0.0619 0.5720
0.5720 0.5720 0.0619
0.0619 0.5720 0.5720
0.4280 0.9381 0.4280
0.9381 0.4280 0.4280
0.4280 0.4280 0.9381
0.5000 0.5000 0.5000

=====

# 4
ErMn6Al6 PBE relaxed; M_tot = 6.90 μB/f.u.; crystal system = orthorhombic; uncorrected energy = -6.55 eV/atom; V = 14.3 Å³ per atom; energy relative to the elements = -3.158 eV per formula unit
1.0
6.6117 -0.0065 0.0020
-0.7794 6.5656 -0.0020
-1.0524 -4.9368 4.2703
Er Mn Al
1 6 6
direct
0.0000 0.0000 0.0000
0.5000 0.0000 0.0000
0.5000 0.5000 0.5000
0.0000 0.0000 0.5000
0.0000 0.5000 0.0000
0.2361 0.5000 0.7361
0.7639 0.5000 0.2639
0.3462 0.3462 0.0000
0.6538 0.6538 0.0000
0.6624 0.0000 0.6624
0.3376 0.0000 0.3376
0.8048 0.3048 0.5000
0.1952 0.6952 0.5000